--- 1 ---
PBE-GGA Tc2IrRh, optimized geometry; D(E_F) = 1.26 states/eV per atom; density = 13.67 g/cm3
1.0
3.303 0.000 0.000
0.000 3.303 0.000
0.000 0.000 5.466
Tc Ir Rh
2 1 1
direct
0.000 0.000 0.236
0.000 0.000 0.764
0.500 0.500 0.000
0.500 0.500 0.500

---

--- 2 ---
PBE-GGA Tc2IrRh, optimized geometry; D(E_F) = 1.14 states/eV per atom; density = 14.04 g/cm3
1.0
2.726 0.000 0.000
0.000 2.726 0.000
0.000 0.000 7.813
Tc Ir Rh
2 1 1
direct
0.000 0.000 0.000
0.500 0.500 0.265
0.000 0.000 0.498
0.500 0.500 0.766

---

Stability ranking, top and bottom: 2 is the most stable and 1 is the least stable.

---

--- 1 ---
PBE-GGA Tc2IrRh, optimized geometry; D(E_F) = 1.24 states/eV per atom; density = 14.18 g/cm3
1.0
-1.916 1.916 3.914
1.916 -1.916 3.914
1.916 1.916 -3.914
Tc Ir Rh
2 1 1
direct
0.250 0.750 0.500
0.750 0.250 0.500
0.000 0.000 0.000
0.500 0.500 0.000

---

--- 2 ---
PBE-GGA Tc2IrRh, optimized geometry; D(E_F) = 0.82 states/eV per atom; density = 13.85 g/cm3
1.0
0.000 3.088 3.088
3.088 0.000 3.088
3.088 3.088 0.000
Tc Ir Rh
2 1 1
direct
0.000 0.000 0.000
0.250 0.250 0.250
0.750 0.750 0.750
0.500 0.500 0.500

---

Stability ranking, top and bottom: 1 is the most stable and 2 is the least stable.

---

--- 1 ---
PBE-GGA Tc2IrRh, optimized geometry; D(E_F) = 1.25 states/eV per atom; density = 14.18 g/cm3
1.0
2.714 -3.914 0.000
2.714 3.914 0.000
0.000 0.000 2.706
Tc Ir Rh
2 1 1
direct
0.000 0.500 0.000
0.500 0.000 0.000
0.000 0.000 0.500
0.500 0.500 0.500

---

--- 2 ---
PBE-GGA Tc2IrRh, optimized geometry; D(E_F) = 1.19 states/eV per atom; density = 14.17 g/cm3
1.0
2.715 0.000 0.000
0.000 3.910 0.000
0.000 0.000 5.421
Tc Ir Rh
2 1 1
direct
0.000 0.000 0.250
0.000 0.000 0.750
0.500 0.500 0.000
0.500 0.500 0.500

---

--- 3 ---
PBE-GGA Tc2IrRh, optimized geometry; D(E_F) = 1.23 states/eV per atom; density = 14.09 g/cm3
1.0
1.368 0.790 8.928
-1.368 0.790 8.928
0.000 -1.580 8.928
Tc Ir Rh
2 1 1
direct
0.000 0.000 0.000
0.249 0.249 0.249
0.501 0.501 0.501
0.748 0.748 0.748

---

Stability ranking, top and bottom: 1 is the most stable and 3 is the least stable.

---

--- 1 ---
PBE-GGA Tc2IrRh, optimized geometry; D(E_F) = 0.97 states/eV per atom; density = 14.13 g/cm3
1.0
1.371 0.792 8.861
-1.371 0.792 8.861
0.000 -1.583 8.861
Tc Ir Rh
2 1 1
direct
0.250 0.250 0.250
0.750 0.750 0.750
0.000 0.000 0.000
0.500 0.500 0.500

---

--- 2 ---
PBE-GGA Tc2IrRh, optimized geometry; D(E_F) = 1.92 states/eV per atom; density = 13.74 g/cm3
1.0
0.000 3.096 3.096
3.096 0.000 3.096
3.096 3.096 0.000
Tc Ir Rh
2 1 1
direct
0.250 0.250 0.250
0.750 0.750 0.750
0.000 0.000 0.000
0.500 0.500 0.500

---

Stability ranking, top and bottom: 1 is the most stable and 2 is the least stable.

---

--- 1 ---
PBE-GGA TcIrRh4, optimized geometry; D(E_F) = 1.28 states/eV per atom; density = 12.99 g/cm3
1.0
0.000 3.553 3.553
3.553 0.000 3.553
3.553 3.553 0.000
Tc Ir Rh
1 1 4
direct
0.000 0.000 0.000
0.250 0.250 0.250
0.125 0.625 0.625
0.625 0.125 0.625
0.625 0.625 0.125
0.625 0.625 0.625

---

--- 2 ---
PBE-GGA TcIrRh4, optimized geometry; D(E_F) = 0.95 states/eV per atom; density = 13.60 g/cm3
1.0
1.365 -7.095 0.000
1.365 7.095 0.000
0.000 0.000 8.847
Tc Ir Rh
2 2 8
direct
0.166 0.834 0.500
0.834 0.166 0.000
0.277 0.723 0.247
0.723 0.277 0.747
0.056 0.944 0.750
0.172 0.828 0.996
0.389 0.611 0.750
0.496 0.504 0.000
0.504 0.496 0.500
0.611 0.389 0.250
0.828 0.172 0.496
0.944 0.056 0.250

---

Stability ranking, top and bottom: 2 is the most stable and 1 is the least stable.

---

--- 1 ---
PBE-GGA TcIr6Rh3, optimized geometry; D(E_F) = 1.64 states/eV per atom; density = 16.61 g/cm3
1.0
5.143 0.000 0.000
-2.571 4.454 0.000
0.000 0.000 6.808
Tc Ir Rh
1 6 3
direct
0.000 0.000 0.000
0.000 0.425 0.810
0.000 0.575 0.190
0.425 0.000 0.810
0.425 0.425 0.190
0.575 0.000 0.190
0.575 0.575 0.810
0.000 0.000 0.500
0.333 0.667 0.500
0.667 0.333 0.500

---

--- 2 ---
PBE-GGA TcIr6Rh3, optimized geometry; D(E_F) = 1.16 states/eV per atom; density = 17.69 g/cm3
1.0
10.025 0.000 0.000
0.000 2.725 0.000
-2.099 0.000 10.722
Tc Ir Rh
2 12 6
direct
0.042 0.250 0.221
0.958 0.750 0.779
0.117 0.250 0.985
0.194 0.750 0.426
0.219 0.750 0.788
0.263 0.750 0.201
0.344 0.250 0.628
0.499 0.250 0.192
0.501 0.750 0.808
0.656 0.750 0.372
0.737 0.250 0.799
0.781 0.250 0.212
0.806 0.250 0.574
0.883 0.750 0.015
0.070 0.250 0.601
0.376 0.750 0.999
0.418 0.250 0.404
0.582 0.750 0.596
0.624 0.250 0.001
0.930 0.750 0.399

---

Stability ranking, top and bottom: 2 is the most stable and 1 is the least stable.

---

--- 1 ---
PBE-GGA TcIr2Rh3, optimized geometry; D(E_F) = 1.02 states/eV per atom; density = 15.29 g/cm3
1.0
5.435 0.000 0.000
0.000 3.848 0.000
-0.038 0.000 8.219
Tc Ir Rh
2 4 6
direct
0.128 0.250 0.246
0.872 0.750 0.754
0.121 0.250 0.920
0.373 0.750 0.412
0.627 0.250 0.588
0.879 0.750 0.080
0.123 0.250 0.583
0.374 0.750 0.090
0.374 0.750 0.747
0.626 0.250 0.253
0.626 0.250 0.910
0.877 0.750 0.417

---

--- 2 ---
PBE-GGA TcIr2Rh3, optimized geometry; D(E_F) = 1.21 states/eV per atom; density = 14.66 g/cm3
1.0
2.698 -6.612 0.000
2.698 6.612 0.000
-0.003 0.000 5.022
Tc Ir Rh
2 4 6
direct
0.150 0.850 0.750
0.850 0.150 0.250
0.244 0.248 0.504
0.248 0.244 0.004
0.752 0.756 0.996
0.756 0.752 0.496
0.068 0.424 0.758
0.349 0.651 0.250
0.424 0.068 0.258
0.576 0.932 0.742
0.651 0.349 0.750
0.932 0.576 0.242

---

Stability ranking, top and bottom: 1 is the most stable and 2 is the least stable.

---

--- 1 ---
PBE-GGA TcIr2Rh4, optimized geometry; D(E_F) = 1.16 states/eV per atom; density = 14.46 g/cm3
1.0
4.995 0.000 0.000
0.757 6.741 0.000
0.736 2.977 6.099
Tc Ir Rh
2 4 8
direct
0.000 0.000 0.000
0.496 0.612 0.715
0.304 0.022 0.623
0.609 0.913 0.311
0.913 0.575 0.267
0.947 0.714 0.838
0.112 0.815 0.417
0.213 0.252 0.186
0.419 0.445 0.437
0.433 0.730 0.031
0.495 0.173 0.868
0.718 0.337 0.090
0.806 0.122 0.531
0.977 0.399 0.701

---

--- 2 ---
PBE-GGA TcIr2Rh4, optimized geometry; D(E_F) = 1.33 states/eV per atom; density = 14.59 g/cm3
1.0
2.167 -8.644 0.000
2.167 8.644 0.000
0.000 0.000 2.717
Tc Ir Rh
1 2 4
direct
0.000 0.000 0.000
0.429 0.571 0.500
0.571 0.429 0.500
0.154 0.846 0.500
0.296 0.704 0.000
0.704 0.296 0.000
0.846 0.154 0.500

---

Stability ranking, top and bottom: 2 is the most stable and 1 is the least stable.